Compound: Pu6FeRh2
Source: Alexandria
Functional: PBE
Structure: relaxed

The structure in POSCAR format:
```
Pu6FeRh2
1.0
7.7722 0.0000 0.0000
-3.8861 6.7309 0.0000
0.0000 0.0000 2.7161
Pu Fe Rh
6 1 2
Cartesian
-1.2260 2.1234 1.1482
-2.6601 4.6075 1.5679
2.4519 0.0000 1.1482
1.2260 2.1234 1.5679
5.3202 0.0000 1.5679
2.6601 4.6075 1.1482
0.0000 0.0000 0.0000
0.0000 4.4873 0.0000
3.8861 2.2436 0.0000
```

The magnetization is 0.00 μB/atom. Its raw total energy is -12.045 eV per atom. The space-group type is P-31m.